Compound: Tl2TeBr5
Source: Alexandria via LeMat-Bulk
Functional: PBE-GGA
Structure: optimized geometry

Results
- symmetry = Cm (8)
- raw total energy (eV/atom) = -2.55
- DOS at the Fermi energy (states/eV per atom) = 0.044
- uncorrected formation energy (eV per atom) = -0.52
- volume (A^3/atom) = 43.78
- calculated density (g/cm3) = 4.44

a = 7.8543 Å, b = 7.8543 Å, c = 8.1031 Å
α = 121.05°, β = 121.05°, γ = 61.01°
Element x y z (fractional)
Tl (0.0000, 0.0000, 0.0000)
Tl (0.5623, 0.5623, 0.4451)
Te (0.7309, 0.7309, 0.1014)
Br (0.0107, 0.0107, 0.3911)
Br (0.4820, 0.9600, 0.3359)
Br (0.5012, 0.9784, 0.8696)
Br (0.9600, 0.4820, 0.3359)
Br (0.9784, 0.5012, 0.8696)

***

Compound: LaTh2TcN4
Source: Alexandria via LeMat-Bulk
Functional: PBE-GGA
Structure: optimized geometry

Results
- symmetry = Cmcm (63)
- raw total energy (eV/atom) = -9.05
- DOS at the Fermi energy (states/eV per atom) = 0.332
- uncorrected formation energy (eV per atom) = -1.12
- volume (A^3/atom) = 16.17
- calculated density (g/cm3) = 9.72

a = 6.4083 Å, b = 6.4083 Å, c = 11.9243 Å
α = 90.00°, β = 90.00°, γ = 148.12°
Element x y z (fractional)
La (0.1126, 0.8874, 0.7500)
La (0.8874, 0.1126, 0.2500)
Th (0.3681, 0.6319, 0.5513)
Th (0.3681, 0.6319, 0.9487)
Th (0.6319, 0.3681, 0.0513)
Th (0.6319, 0.3681, 0.4487)
Tc (0.1478, 0.8522, 0.2500)
Tc (0.8522, 0.1478, 0.7500)
N (0.0000, 0.0000, 0.0000)
N (0.0000, 0.0000, 0.5000)
N (0.2705, 0.7295, 0.1251)
N (0.2705, 0.7295, 0.3749)
N (0.4557, 0.5443, 0.7500)
N (0.5443, 0.4557, 0.2500)
N (0.7295, 0.2705, 0.6251)
N (0.7295, 0.2705, 0.8749)

***

Compound: RbBP
Source: Alexandria via LeMat-Bulk
Functional: PBE-GGA
Structure: optimized geometry

Results
- symmetry = P2_1/c (14)
- raw total energy (eV/atom) = -4.37
- formation enthalpy at 0 K (eV/atom) = -0.016
- volume (A^3/atom) = 21.20
- calculated density (g/cm3) = 3.32

a = 7.1607 Å, b = 6.1158 Å, c = 6.4869 Å
α = 90.00°, β = 116.42°, γ = 90.00°
Element x y z (fractional)
Rb (0.1631, 0.1353, 0.3220)
Rb (0.1631, 0.3647, 0.8220)
Rb (0.8369, 0.6353, 0.1780)
Rb (0.8369, 0.8647, 0.6780)
B (0.4181, 0.6382, 0.6105)
B (0.4181, 0.8618, 0.1105)
B (0.5819, 0.1382, 0.8895)
B (0.5819, 0.3618, 0.3895)
P (0.4073, 0.6280, 0.3056)
P (0.4073, 0.8720, 0.8056)
P (0.5927, 0.1280, 0.1944)
P (0.5927, 0.3720, 0.6944)

***

Magnetization (μB per cell)
1.02; 0.00; 0.00